The following is a DFT calculation (PBE) of a relaxed LiZrNi6 crystal.

The calculated formation energy is -177 meV/atom. The calculation puts the density of states at the Fermi level at 64.00 states/eV/cell. Its mass density is 7.67 g cm⁻³. Its total energy is -5.821 eV per atom.

Unit cell a=7.227 b=10.396 c=10.378 alpha=90.00 beta=90.00 gamma=90.00
Space group Cmmm (No. 65)
Inequivalent atoms, fractional coordinates:
Li (0.000, 0.000, 0.243) (multiplicity 4)
Li (0.000, 0.259, 0.000) (multiplicity 4)
Zr (0.000, 0.257, 0.500) (multiplicity 4)
Zr (0.000, 0.500, 0.244) (multiplicity 4)
Ni (0.000, 0.000, 0.000) (multiplicity 2)
Ni (0.000, 0.000, 0.500) (multiplicity 2)
Ni (0.000, 0.247, 0.241) (multiplicity 8)
Ni (0.000, 0.500, 0.000) (multiplicity 2)
Ni (0.000, 0.500, 0.500) (multiplicity 2)
Ni (0.239, 0.122, 0.369) (multiplicity 16)
Ni (0.240, 0.129, 0.118) (multiplicity 16)

***

The following is a DFT calculation (PBE) of a relaxed CrReHgSe2 crystal.

The formation energy (no corrections) is 597 kJ/mol of formula units. For the distance to the lowest polymorph of the same formula, the calculation gives 0.000 eV/atom. The calculation puts the density of states at the Fermi level at 3.97 states/eV/cell. Its mass density is 8.39 g cm⁻³. Its total energy is -4.632 eV per atom.

Unit cell a=4.773 b=4.773 c=5.183 alpha=90.00 beta=90.00 gamma=90.00
Space group P4/mmm (No. 123)
Inequivalent atoms, fractional coordinates:
Cr (0.000, 0.000, 0.000) (multiplicity 1)
Re (0.500, 0.500, 0.500) (multiplicity 1)
Hg (0.000, 0.000, 0.500) (multiplicity 1)
Se (0.000, 0.500, 0.000) (multiplicity 2)

***

The following is a DFT calculation (PBE) of a relaxed ThNiSn6 crystal.

The calculated formation energy is -141 meV/atom. The calculation puts the density of states at the Fermi level at 8.22 states/eV/cell. Its mass density is 8.02 g cm⁻³. Its total energy is -4.793 eV per atom.

Unit cell a=6.785 b=10.341 c=6.638 alpha=90.00 beta=116.91 gamma=90.00
Space group C2/m (No. 12)
Inequivalent atoms, fractional coordinates:
Th (0.000, 0.000, 0.000) (multiplicity 2)
Ni (0.000, 0.500, 0.500) (multiplicity 2)
Sn (0.093, 0.280, 0.756) (multiplicity 8)
Sn (0.237, 0.000, 0.670) (multiplicity 4)

***

The following is a DFT calculation (PBE) of a relaxed CuAg3F8 crystal.

The formation energy (no corrections) is -1234 kJ/mol of formula units. For the distance to the lowest polymorph of the same formula, the calculation gives 0.127 eV/atom. The calculation puts the density of states at the Fermi level at 29.77 states/eV/cell. Its mass density is 5.80 g cm⁻³. Its total energy is -3.367 eV per atom.

Unit cell a=5.368 b=5.368 c=10.711 alpha=90.00 beta=90.00 gamma=90.00
Space group I4/mmm (No. 139)
Inequivalent atoms, fractional coordinates:
Cu (0.000, 0.000, 0.000) (multiplicity 2)
Ag (0.000, 0.000, 0.500) (multiplicity 2)
Ag (0.000, 0.500, 0.250) (multiplicity 4)
F (0.238, 0.238, 0.119) (multiplicity 16)

***

The following is a DFT calculation (PBE) of a relaxed YIn3Ni2 crystal.

For the distance to the lowest polymorph of the same formula, the calculation gives 0.048 eV/atom. The calculated formation energy is -249 meV/atom. The calculation puts the density of states at the Fermi level at 21.12 states/eV/cell. Its mass density is 7.50 g cm⁻³. Its total energy is -4.623 eV per atom.

Unit cell a=17.182 b=4.294 c=10.489 alpha=90.00 beta=109.11 gamma=90.00
Space group C2/m (No. 12)
Inequivalent atoms, fractional coordinates:
Y (0.000, 0.000, 0.000) (multiplicity 2)
Y (0.158, 0.000, 0.702) (multiplicity 4)
In (0.000, 0.500, 0.500) (multiplicity 2)
In (0.042, 0.000, 0.339) (multiplicity 4)
In (0.125, 0.500, 0.190) (multiplicity 4)
In (0.172, 0.500, 0.951) (multiplicity 4)
In (0.222, 0.000, 0.388) (multiplicity 4)
Ni (0.024, 0.500, 0.780) (multiplicity 4)
Ni (0.134, 0.500, 0.443) (multiplicity 4)
Ni (0.199, 0.000, 0.126) (multiplicity 4)

***

The following is a DFT calculation (PBE) of a relaxed PmYTh2As4 crystal.

The calculated formation energy is -1477 meV/atom. The calculation puts the density of states at the Fermi level at 4.03 states/eV/cell. Its mass density is 7.80 g cm⁻³. Its total energy is -7.058 eV per atom.

Unit cell a=7.280 b=4.230 c=7.325 alpha=90.00 beta=109.66 gamma=90.00
Space group P2/m (No. 10)
Inequivalent atoms, fractional coordinates:
Pm (0.000, 0.000, 0.000) (multiplicity 1)
Y (0.000, 0.500, 0.500) (multiplicity 1)
Th (0.500, 0.000, 0.500) (multiplicity 1)
Th (0.500, 0.500, 0.000) (multiplicity 1)
As (0.246, 0.000, 0.746) (multiplicity 2)
As (0.248, 0.500, 0.252) (multiplicity 2)

***

The following is a DFT calculation (PBE) of a relaxed Pm5Sm12Ho crystal.

The calculated formation energy is 83 meV/atom. The calculation puts the density of states at the Fermi level at 54.58 states/eV/cell. Its mass density is 7.36 g cm⁻³. Its total energy is -4.637 eV per atom.

Unit cell a=11.981 b=17.411 c=5.829 alpha=90.00 beta=90.01 gamma=90.00
Space group C2/m (No. 12)
Inequivalent atoms, fractional coordinates:
Pm (0.000, 0.000, 0.000) (multiplicity 2)
Pm (0.000, 0.137, 0.500) (multiplicity 4)
Pm (0.000, 0.365, 0.000) (multiplicity 4)
Sm (0.152, 0.180, 0.997) (multiplicity 8)
Sm (0.153, 0.320, 0.502) (multiplicity 8)
Sm (0.200, 0.500, 0.984) (multiplicity 4)
Sm (0.203, 0.000, 0.516) (multiplicity 4)
Ho (0.000, 0.500, 0.500) (multiplicity 2)

***

The following is a DFT calculation (PBE) of a relaxed In3HgBi3 crystal.

For the distance to the lowest polymorph of the same formula, the calculation gives 0.000 eV/atom. The calculated formation energy is 69 meV/atom. The calculation puts the density of states at the Fermi level at 5.49 states/eV/cell. Its mass density is 8.71 g cm⁻³. Its total energy is -2.811 eV per atom.

Unit cell a=7.558 b=7.859 c=9.109 alpha=92.75 beta=109.89 gamma=115.51
Space group P-1 (No. 2)
Inequivalent atoms, fractional coordinates:
In (0.020, 0.044, 0.284) (multiplicity 2)
In (0.183, 0.575, 0.339) (multiplicity 2)
In (0.417, 0.652, 0.049) (multiplicity 2)
Hg (0.424, 0.189, 0.198) (multiplicity 2)
Bi (0.007, 0.726, 0.986) (multiplicity 2)
Bi (0.192, 0.368, 0.624) (multiplicity 2)
Bi (0.383, 0.055, 0.602) (multiplicity 2)

***

The following is a DFT calculation (PBE) of a relaxed LaCe2DyBi4 crystal.

The calculated formation energy is -869 meV/atom. The calculation puts the density of states at the Fermi level at 13.52 states/eV/cell. Its mass density is 8.55 g cm⁻³. Its total energy is -5.484 eV per atom.

Unit cell a=7.964 b=4.600 c=7.970 alpha=90.00 beta=109.47 gamma=90.00
Space group P2/m (No. 10)
Inequivalent atoms, fractional coordinates:
La (0.000, 0.000, 0.000) (multiplicity 1)
Ce (0.000, 0.500, 0.500) (multiplicity 1)
Ce (0.500, 0.000, 0.500) (multiplicity 1)
Dy (0.500, 0.500, 0.000) (multiplicity 1)
Bi (0.257, 0.000, 0.753) (multiplicity 2)
Bi (0.257, 0.500, 0.252) (multiplicity 2)

***

The following is a DFT calculation (PBE) of a relaxed CeSm4S5 crystal.

The formation energy (no corrections) is -1960 kJ/mol of formula units. The calculation puts the density of states at the Fermi level at 17.36 states/eV/cell. Its mass density is 6.56 g cm⁻³. Its total energy is -6.577 eV per atom.

Unit cell a=4.002 b=5.673 c=20.113 alpha=90.00 beta=90.00 gamma=90.00
Space group Immm (No. 71)
Inequivalent atoms, fractional coordinates:
Ce (0.000, 0.000, 0.000) (multiplicity 2)
Sm (0.000, 0.000, 0.198) (multiplicity 4)
Sm (0.000, 0.000, 0.401) (multiplicity 4)
S (0.000, 0.500, 0.000) (multiplicity 2)
S (0.000, 0.500, 0.200) (multiplicity 4)
S (0.000, 0.500, 0.400) (multiplicity 4)

***

The following is a DFT calculation (PBE) of a relaxed NbTeH2PdI crystal.

For the distance to the lowest polymorph of the same formula, the calculation gives 0.091 eV/atom. The calculation puts the density of states at the Fermi level at 2.38 states/eV/cell. Its mass density is 6.02 g cm⁻³. Its total energy is -4.579 eV per atom.

Unit cell a=3.462 b=5.480 c=7.484 alpha=101.01 beta=103.27 gamma=108.41
Space group P1 (No. 1)
Inequivalent atoms, fractional coordinates:
Nb (0.000, 0.000, 0.000) (multiplicity 1)
Te (0.614, 0.944, 0.288) (multiplicity 1)
H (0.255, 0.369, 0.143) (multiplicity 1)
H (0.578, 0.186, 0.969) (multiplicity 1)
Pd (0.831, 0.515, 0.148) (multiplicity 1)
I (0.194, 0.654, 0.732) (multiplicity 1)

***

The following is a DFT calculation (PBE) of a relaxed La2InAs crystal.

For the distance to the lowest polymorph of the same formula, the calculation gives 0.155 eV/atom. The calculated formation energy is -779 meV/atom. The calculation puts the density of states at the Fermi level at 7.41 states/eV/cell. Its mass density is 6.92 g cm⁻³. Its total energy is -5.090 eV per atom.

Unit cell a=6.853 b=8.344 c=3.926 alpha=90.00 beta=90.00 gamma=90.00
Space group Cmmm (No. 65)
Inequivalent atoms, fractional coordinates:
La (0.250, 0.250, 0.000) (multiplicity 4)
In (0.000, 0.000, 0.500) (multiplicity 2)
As (0.000, 0.500, 0.500) (multiplicity 2)